Version A
{
  "formula": "Cd4Ag3",
  "functional": "PBE",
  "state": "relaxed",
  "lattice_angstrom": [[-1.656, 1.656, 12.728], [1.656, -1.656, 12.728], [1.656, 1.656, -12.728]],
  "species": ["Cd", "Cd", "Cd", "Cd", "Ag", "Ag", "Ag"],
  "frac_coords": [[0.070, 0.070, 0.000], [0.351, 0.351, 0.000], [0.649, 0.649, 0.000], [0.930, 0.930, 0.000], [0.217, 0.217, 0.000], [0.500, 0.500, 0.000], [0.783, 0.783, 0.000]]
}

***

Version B
{
  "formula": "Cd4Ag3",
  "functional": "PBE",
  "state": "relaxed",
  "lattice_angstrom": [[-1.531, 2.067, 10.883], [1.531, -2.067, 10.883], [1.531, 2.067, -10.883]],
  "species": ["Cd", "Cd", "Cd", "Cd", "Ag", "Ag", "Ag"],
  "frac_coords": [[0.071, 0.071, 0.000], [0.212, 0.212, 0.000], [0.788, 0.788, 0.000], [0.929, 0.929, 0.000], [0.359, 0.359, 0.000], [0.500, 0.500, 0.000], [0.641, 0.641, 0.000]]
}

***

Short version: version B is the most stable of them.

***

Version A
{
  "formula": "Cd2Ag7",
  "functional": "PBE",
  "state": "relaxed",
  "lattice_angstrom": [[5.155, 0.000, 0.000], [-2.577, 4.464, 0.000], [0.000, 0.000, 7.237]],
  "species": ["Cd", "Cd", "Ag", "Ag", "Ag", "Ag", "Ag", "Ag", "Ag"],
  "frac_coords": [[0.333, 0.667, 0.000], [0.667, 0.333, 0.000], [0.000, 0.000, 0.000], [0.000, 0.333, 0.664], [0.000, 0.667, 0.336], [0.333, 0.000, 0.664], [0.333, 0.333, 0.336], [0.667, 0.000, 0.336], [0.667, 0.667, 0.664]]
}

***

Version B
{
  "formula": "Cd2Ag7",
  "functional": "PBE",
  "state": "relaxed",
  "lattice_angstrom": [[8.181, 0.000, 0.000], [-4.091, 7.085, 0.000], [0.000, 0.000, 2.893]],
  "species": ["Cd", "Cd", "Ag", "Ag", "Ag", "Ag", "Ag", "Ag", "Ag"],
  "frac_coords": [[0.333, 0.667, 0.000], [0.667, 0.333, 0.000], [0.000, 0.000, 0.500], [0.000, 0.355, 0.500], [0.000, 0.695, 0.000], [0.305, 0.305, 0.000], [0.355, 0.000, 0.500], [0.645, 0.645, 0.500], [0.695, 0.000, 0.000]]
}

***

Short version: version A is the most stable of them.

***

Version A
{
  "formula": "Ce2Cd3Ag2",
  "functional": "PBE",
  "state": "relaxed",
  "lattice_angstrom": [[2.431, -10.199, 0.000], [2.431, 10.199, 0.000], [0.000, 0.000, 6.638]],
  "species": ["Ce", "Ce", "Ce", "Ce", "Cd", "Cd", "Cd", "Cd", "Cd", "Cd", "Ag", "Ag", "Ag", "Ag"],
  "frac_coords": [[0.007, 0.993, 0.750], [0.143, 0.857, 0.750], [0.857, 0.143, 0.250], [0.993, 0.007, 0.250], [0.165, 0.835, 0.250], [0.424, 0.576, 0.516], [0.424, 0.576, 0.984], [0.576, 0.424, 0.016], [0.576, 0.424, 0.484], [0.835, 0.165, 0.750], [0.285, 0.715, 0.509], [0.285, 0.715, 0.991], [0.715, 0.285, 0.009], [0.715, 0.285, 0.491]]
}

***

Version B
{
  "formula": "Ce2Cd3Ag2",
  "functional": "PBE",
  "state": "relaxed",
  "lattice_angstrom": [[5.353, -2.173, 0.000], [5.353, 2.173, 0.000], [-0.358, 0.000, 7.525]],
  "species": ["Ce", "Ce", "Cd", "Cd", "Cd", "Ag", "Ag"],
  "frac_coords": [[0.124, 0.124, 0.326], [0.876, 0.876, 0.674], [0.182, 0.182, 0.871], [0.500, 0.500, 0.000], [0.818, 0.818, 0.129], [0.409, 0.409, 0.361], [0.591, 0.591, 0.639]]
}

***

Short version: version B is the most stable of them.

***

Version A
{
  "formula": "CeCd2Ag2",
  "functional": "PBE",
  "state": "relaxed",
  "lattice_angstrom": [[2.726, -4.400, 0.000], [2.726, 4.400, 0.000], [-2.345, 0.000, 9.634]],
  "species": ["Ce", "Ce", "Cd", "Cd", "Cd", "Cd", "Ag", "Ag", "Ag", "Ag"],
  "frac_coords": [[0.141, 0.859, 0.750], [0.859, 0.141, 0.250], [0.147, 0.762, 0.097], [0.238, 0.853, 0.403], [0.762, 0.147, 0.597], [0.853, 0.238, 0.903], [0.367, 0.430, 0.607], [0.430, 0.367, 0.107], [0.570, 0.633, 0.893], [0.633, 0.570, 0.393]]
}

***

Version B
{
  "formula": "CeCd2Ag2",
  "functional": "PBE",
  "state": "relaxed",
  "lattice_angstrom": [[3.202, 0.000, 0.000], [0.000, 4.992, 0.000], [0.000, 0.000, 13.868]],
  "species": ["Ce", "Ce", "Cd", "Cd", "Cd", "Cd", "Ag", "Ag", "Ag", "Ag"],
  "frac_coords": [[0.250, 0.250, 0.249], [0.750, 0.750, 0.751], [0.250, 0.250, 0.640], [0.250, 0.750, 0.967], [0.750, 0.250, 0.033], [0.750, 0.750, 0.360], [0.250, 0.250, 0.852], [0.250, 0.750, 0.536], [0.750, 0.250, 0.464], [0.750, 0.750, 0.148]]
}

***

Short version: version A is the most stable of them.

***

Version A
{
  "formula": "CeCd4Ag",
  "functional": "PBE",
  "state": "relaxed",
  "lattice_angstrom": [[7.322, -3.713, 0.000], [7.322, 3.713, 0.000], [-1.612, 0.000, 5.344]],
  "species": ["Ce", "Ce", "Cd", "Cd", "Cd", "Cd", "Cd", "Cd", "Cd", "Cd", "Ag", "Ag"],
  "frac_coords": [[0.210, 0.210, 0.143], [0.790, 0.790, 0.857], [0.071, 0.684, 0.432], [0.198, 0.802, 0.000], [0.316, 0.929, 0.568], [0.338, 0.338, 0.738], [0.662, 0.662, 0.262], [0.684, 0.071, 0.432], [0.802, 0.198, 0.000], [0.929, 0.316, 0.568], [0.444, 0.444, 0.245], [0.556, 0.556, 0.755]]
}

***

Version B
{
  "formula": "CeCd4Ag",
  "functional": "PBE",
  "state": "relaxed",
  "lattice_angstrom": [[0.000, 4.148, 4.148], [4.148, 0.000, 4.148], [4.148, 4.148, 0.000]],
  "species": ["Ce", "Cd", "Cd", "Cd", "Cd", "Ag"],
  "frac_coords": [[0.000, 0.000, 0.000], [0.125, 0.625, 0.625], [0.625, 0.125, 0.625], [0.625, 0.625, 0.125], [0.625, 0.625, 0.625], [0.250, 0.250, 0.250]]
}

***

Short version: version A is the most stable of them.

***

Version A
{
  "formula": "CeCd4Ag2",
  "functional": "PBE",
  "state": "relaxed",
  "lattice_angstrom": [[2.462, 1.421, 7.768], [-2.462, 1.421, 7.768], [0.000, -2.843, 7.768]],
  "species": ["Ce", "Cd", "Cd", "Cd", "Cd", "Ag", "Ag"],
  "frac_coords": [[0.000, 0.000, 0.000], [0.138, 0.138, 0.138], [0.409, 0.409, 0.409], [0.591, 0.591, 0.591], [0.862, 0.862, 0.862], [0.262, 0.262, 0.262], [0.738, 0.738, 0.738]]
}

***

Version B
{
  "formula": "CeCd4Ag2",
  "functional": "PBE",
  "state": "relaxed",
  "lattice_angstrom": [[4.637, -3.725, 0.000], [4.637, 3.725, 0.000], [-3.373, 0.000, 4.496]],
  "species": ["Ce", "Cd", "Cd", "Cd", "Cd", "Ag", "Ag"],
  "frac_coords": [[0.000, 0.000, 0.000], [0.000, 0.389, 0.695], [0.000, 0.611, 0.305], [0.389, 0.000, 0.695], [0.611, 0.000, 0.305], [0.499, 0.499, 0.249], [0.501, 0.501, 0.751]]
}

***

Short version: version B is the most stable of them.

***

Version A
{
  "formula": "Ce2Cd3Ag",
  "functional": "PBE",
  "state": "relaxed",
  "lattice_angstrom": [[3.227, 0.000, 0.000], [0.000, 5.091, 0.000], [0.000, 0.000, 8.825]],
  "species": ["Ce", "Ce", "Cd", "Cd", "Cd", "Ag"],
  "frac_coords": [[0.000, 0.000, 0.000], [0.000, 0.500, 0.487], [0.500, 0.000, 0.658], [0.500, 0.500, 0.162], [0.500, 0.500, 0.826], [0.500, 0.000, 0.327]]
}

***

Version B
{
  "formula": "Ce2Cd3Ag",
  "functional": "PBE",
  "state": "relaxed",
  "lattice_angstrom": [[-1.641, 2.542, 9.342], [1.641, -2.542, 9.342], [1.641, 2.542, -9.342]],
  "species": ["Ce", "Ce", "Cd", "Cd", "Cd", "Ag"],
  "frac_coords": [[0.000, 0.000, 0.000], [0.736, 0.236, 0.500], [0.153, 0.653, 0.500], [0.309, 0.809, 0.500], [0.430, 0.430, 0.000], [0.582, 0.582, 0.000]]
}

***

Short version: version A is the most stable of them.

***

Version A
{
  "formula": "Ce2CdAg5",
  "functional": "PBE",
  "state": "relaxed",
  "lattice_angstrom": [[2.194, -8.579, 0.000], [2.194, 8.579, 0.000], [0.000, 0.000, 10.069]],
  "species": ["Ce", "Ce", "Ce", "Ce", "Cd", "Cd", "Ag", "Ag", "Ag", "Ag", "Ag", "Ag", "Ag", "Ag", "Ag", "Ag"],
  "frac_coords": [[0.000, 0.000, 0.000], [0.000, 0.000, 0.500], [0.194, 0.806, 0.750], [0.806, 0.194, 0.250], [0.455, 0.545, 0.250], [0.545, 0.455, 0.750], [0.196, 0.804, 0.109], [0.196, 0.804, 0.391], [0.359, 0.641, 0.029], [0.359, 0.641, 0.471], [0.386, 0.614, 0.750], [0.614, 0.386, 0.250], [0.641, 0.359, 0.529], [0.641, 0.359, 0.971], [0.804, 0.196, 0.609], [0.804, 0.196, 0.891]]
}

***

Version B
{
  "formula": "Ce2CdAg5",
  "functional": "PBE",
  "state": "relaxed",
  "lattice_angstrom": [[-3.468, 3.468, 3.856], [3.468, -3.468, 3.856], [3.468, 3.468, -3.856]],
  "species": ["Ce", "Ce", "Cd", "Ag", "Ag", "Ag", "Ag", "Ag"],
  "frac_coords": [[0.000, 0.500, 0.500], [0.500, 0.000, 0.500], [0.079, 0.079, 0.000], [0.451, 0.451, 0.000], [0.545, 0.545, 0.588], [0.545, 0.957, 0.000], [0.957, 0.545, 0.000], [0.957, 0.957, 0.412]]
}

***

Short version: version A is the most stable of them.